# Li3NpSn2S6 (PBE, optimized geometry)
# **Total energy**: -5.25 eV/atom
# **Formation energy without anion corrections**: -0.960 eV/atom
data_Li3NpSn2S6
_cell_length_a 6.9515
_cell_length_b 12.2378
_cell_length_c 6.4602
_cell_angle_alpha 90.00
_cell_angle_beta 110.08
_cell_angle_gamma 90.00
_space_group_name_H-M_alt 'C 1 2/m 1'
_space_group_IT_number 12
_space_group_name_Hall '-C 2y'
loop_
_atom_site_label
_atom_site_fract_x
_atom_site_fract_y
_atom_site_fract_z
Li1 0.0000 0.0000 0.0000
Li2 0.0000 0.3525 0.0000
Np1 0.0000 0.5000 0.5000
Sn1 0.0000 0.1702 0.5000
S1 0.2331 0.3471 0.7524
S2 0.2351 0.5000 0.2576